No. 1
ReHg2Au (PBE, relaxed); formation energy from the elements = 0.93 eV per atom; E above lowest polymorph = 36.33 kJ per mole of atoms; Fermi-level density of states = 3.1 states/eV/f.u.; DFT total energy = -12.62 eV for the cell shown
1.0
0.000 3.368 3.368
3.368 0.000 3.368
3.368 3.368 0.000
Re Hg Au
1 2 1
Direct
0.000 0.000 0.000
0.250 0.250 0.250
0.750 0.750 0.750
0.500 0.500 0.500

No. 2
ReHg2Au (PBE, relaxed); formation energy from the elements = 0.93 eV per atom; E above lowest polymorph = 36.63 kJ per mole of atoms; Fermi-level density of states = 1.5 states/eV/f.u.; DFT total energy = -12.61 eV for the cell shown
1.0
0.000 3.376 3.376
3.376 0.000 3.376
3.376 3.376 0.000
Re Hg Au
1 2 1
Direct
0.000 0.000 0.000
0.500 0.500 0.500
0.750 0.750 0.750
0.250 0.250 0.250

No. 3
ReHg2Au (PBE, relaxed); formation energy from the elements = 0.98 eV per atom; E above lowest polymorph = 41.22 kJ per mole of atoms; Fermi-level density of states = 2.8 states/eV/f.u.; DFT total energy = -24.83 eV for the cell shown
1.0
-2.039 2.039 10.071
2.039 -2.039 10.071
2.039 2.039 -10.071
Re Hg Au
2 4 2
Direct
0.000 0.000 0.000
0.750 0.250 0.500
0.119 0.625 0.994
0.375 0.369 0.494
0.631 0.125 0.006
0.875 0.881 0.506
0.250 0.750 0.500
0.500 0.500 0.000

No. 4
Re2HgAu (PBE, relaxed); formation energy from the elements = 0.78 eV per atom; Fermi-level density of states = 2.6 states/eV/f.u.; DFT total energy = -25.34 eV for the cell shown
1.0
-2.043 2.043 3.992
2.043 -2.043 3.992
2.043 2.043 -3.992
Re Hg Au
2 1 1
Direct
0.000 0.000 0.000
0.750 0.250 0.500
0.500 0.500 0.000
0.250 0.750 0.500

No. 5
ReHgAu2 (PBE, relaxed); formation energy from the elements = 0.65 eV per atom; Fermi-level density of states = 2.1 states/eV/f.u.; DFT total energy = -16.70 eV for the cell shown
1.0
2.817 0.000 0.000
0.000 5.071 0.000
0.000 0.000 5.089
Re Hg Au
1 1 2
Direct
0.000 0.000 0.000
0.500 0.500 0.000
0.000 0.500 0.500
0.500 0.000 0.500

No. 6
Re2HgAu (PBE, relaxed); formation energy from the elements = 0.85 eV per atom; Fermi-level density of states = 3.3 states/eV/f.u.; DFT total energy = -25.07 eV for the cell shown
1.0
3.163 0.000 0.000
0.000 4.463 0.000
0.000 0.000 4.845
Re Hg Au
2 1 1
Direct
0.000 0.000 0.000
0.500 0.500 0.000
0.000 0.500 0.500
0.500 0.000 0.500

No. 7
ReHgAu2 (PBE, relaxed); formation energy from the elements = 0.74 eV per atom; Fermi-level density of states = 3.6 states/eV/f.u.; DFT total energy = -16.35 eV for the cell shown
1.0
4.169 0.000 0.000
0.000 4.169 0.000
0.000 0.000 4.129
Re Hg Au
1 1 2
Direct
0.000 0.000 0.000
0.500 0.500 0.000
0.000 0.500 0.500
0.500 0.000 0.500

No. 8
ReHg2Au (PBE, relaxed); formation energy from the elements = 0.55 eV per atom; E above lowest polymorph = 0.00 kJ per mole of atoms; Fermi-level density of states = 3.9 states/eV/f.u.; DFT total energy = -14.13 eV for the cell shown
1.0
1.475 0.852 10.119
-1.475 0.852 10.119
0.000 -1.703 10.119
Re Hg Au
1 2 1
Direct
0.000 0.000 0.000
0.254 0.254 0.254
0.492 0.492 0.492
0.740 0.740 0.740

No. 9
Re2HgAu (PBE, relaxed); formation energy from the elements = 0.79 eV per atom; Fermi-level density of states = 2.8 states/eV/f.u.; DFT total energy = -25.31 eV for the cell shown
1.0
2.898 0.000 0.000
0.000 5.061 0.000
-0.226 0.000 4.774
Re Hg Au
2 1 1
Direct
0.184 0.000 0.265
0.816 0.000 0.735
0.000 0.500 0.000
0.500 0.500 0.500

No. 10
Re2HgAu (PBE, relaxed); formation energy from the elements = 1.43 eV per atom; Fermi-level density of states = 3.6 states/eV/f.u.; DFT total energy = -45.51 eV for the cell shown
1.0
-3.773 3.773 2.650
3.773 -3.773 2.650
3.773 3.773 -2.650
Re Hg Au
4 2 2
Direct
0.114 0.125 0.489
0.375 0.886 0.011
0.636 0.625 0.511
0.875 0.364 0.989
0.250 0.750 0.500
0.500 0.500 0.000
0.000 0.000 0.000
0.750 0.250 0.500

No. 11
ReHg2Au (PBE, relaxed); formation energy from the elements = 0.75 eV per atom; E above lowest polymorph = 19.25 kJ per mole of atoms; Fermi-level density of states = 2.1 states/eV/f.u.; DFT total energy = -13.33 eV for the cell shown
1.0
2.845 0.000 0.000
0.000 5.090 0.000
0.000 0.000 5.305
Re Hg Au
1 2 1
Direct
0.000 0.000 0.000
0.000 0.500 0.500
0.500 0.500 0.000
0.500 0.000 0.500

No. 12
ReHg2Au (PBE, relaxed); formation energy from the elements = 0.71 eV per atom; E above lowest polymorph = 15.35 kJ per mole of atoms; Fermi-level density of states = 2.1 states/eV/f.u.; DFT total energy = -13.49 eV for the cell shown
1.0
4.941 -1.438 0.000
4.941 1.438 0.000
-1.111 0.000 5.273
Re Hg Au
1 2 1
Direct
0.000 0.000 0.000
0.253 0.253 0.759
0.747 0.747 0.241
0.500 0.500 0.500

No. 13
Re3HgAu (PBE, relaxed); formation energy from the elements = 2.93 eV per atom; E above lowest polymorph = 0.00 kJ per mole of atoms; Fermi-level density of states = 10.8 states/eV/f.u.; DFT total energy = -26.26 eV for the cell shown
1.0
4.867 0.000 0.000
0.000 4.867 0.000
0.000 0.000 4.867
Re Hg Au
3 1 1
Direct
0.000 0.000 0.500
0.000 0.500 0.000
0.500 0.000 0.000
0.500 0.500 0.500
0.000 0.000 0.000

No. 14
ReHgAu2 (PBE, relaxed); formation energy from the elements = 0.76 eV per atom; Fermi-level density of states = 2.2 states/eV/f.u.; DFT total energy = -16.27 eV for the cell shown
1.0
-2.151 2.151 3.930
2.151 -2.151 3.930
2.151 2.151 -3.930
Re Hg Au
1 1 2
Direct
0.000 0.000 0.000
0.750 0.250 0.500
0.250 0.750 0.500
0.500 0.500 0.000

No. 15
ReHgAu2 (PBE, relaxed); formation energy from the elements = 0.60 eV per atom; Fermi-level density of states = 3.3 states/eV/f.u.; DFT total energy = -16.91 eV for the cell shown
1.0
4.794 -1.401 0.000
4.794 1.401 0.000
-0.769 0.000 5.347
Re Hg Au
1 1 2
Direct
0.000 0.000 0.000
0.500 0.500 0.500
0.258 0.258 0.767
0.742 0.742 0.233

No. 16
ReHg2Au (PBE, relaxed); formation energy from the elements = 0.61 eV per atom; E above lowest polymorph = 5.66 kJ per mole of atoms; Fermi-level density of states = 2.7 states/eV/f.u.; DFT total energy = -13.89 eV for the cell shown
1.0
1.486 -2.522 0.000
1.486 2.522 0.000
0.000 0.000 10.051
Re Hg Au
1 2 1
Direct
0.000 0.000 0.000
0.500 0.500 0.245
0.500 0.500 0.755
0.000 0.000 0.500

No. 17
ReHgAu2 (PBE, relaxed); formation energy from the elements = 0.60 eV per atom; Fermi-level density of states = 2.2 states/eV/f.u.; DFT total energy = -16.90 eV for the cell shown
1.0
-1.389 2.537 5.349
1.389 -2.537 5.349
1.389 2.537 -5.349
Re Hg Au
1 1 2
Direct
0.000 0.000 0.000
0.500 0.500 0.000
0.225 0.725 0.500
0.775 0.275 0.500

No. 18
ReHgSb2Au (PBE, relaxed); ΔE_f (raw) = 1473.3 meV per atom; Fermi-level density of states = 4.1 states/eV/f.u.; DFT total energy = -16.91 eV for the cell shown
1.0
5.387 0.000 0.000
0.000 5.387 0.000
0.000 0.000 5.121
Re Hg Sb Au
1 1 2 1
Direct
0.000 0.000 0.000
0.500 0.500 0.000
0.000 0.500 0.500
0.500 0.000 0.500
0.500 0.500 0.500

No. 19
TlReHg2Au (PBE, relaxed); formation energy from the elements = 1.60 eV per atom; Fermi-level density of states = 1.6 states/eV/f.u.; DFT total energy = -10.71 eV for the cell shown
1.0
5.727 0.000 0.000
0.000 5.727 0.000
0.000 0.000 5.291
Tl Re Hg Au
1 1 2 1
Direct
0.000 0.000 0.000
0.500 0.500 0.500
0.000 0.500 0.000
0.500 0.000 0.000
0.000 0.000 0.500

No. 20
HgRh3Au (PBE, relaxed); formation energy from the elements = 1.49 eV per atom; E above lowest polymorph = 0.00 kJ per mole of atoms; Fermi-level density of states = 14.3 states/eV/f.u.; DFT total energy = -18.18 eV for the cell shown
1.0
4.900 0.000 0.000
0.000 4.900 0.000
0.000 0.000 4.900
Hg Rh Au
1 3 1
Direct
0.000 0.000 0.000
0.000 0.500 0.500
0.500 0.000 0.500
0.500 0.500 0.000
0.500 0.500 0.500

No. 21
HgRh2Au (PBE, relaxed); formation energy from the elements = 0.25 eV per atom; Fermi-level density of states = 4.1 states/eV/f.u.; DFT total energy = -17.27 eV for the cell shown
1.0
1.454 0.839 9.158
-1.454 0.839 9.158
0.000 -1.678 9.158
Hg Rh Au
1 2 1
Direct
0.000 0.000 0.000
0.249 0.249 0.249
0.751 0.751 0.751
0.500 0.500 0.500

No. 22
HgRh2Au (PBE, relaxed); formation energy from the elements = 0.23 eV per atom; Fermi-level density of states = 5.9 states/eV/f.u.; DFT total energy = -17.37 eV for the cell shown
1.0
4.172 0.000 0.000
0.000 4.172 0.000
0.000 0.000 3.843
Hg Rh Au
1 2 1
Direct
0.000 0.000 0.000
0.000 0.500 0.500
0.500 0.000 0.500
0.500 0.500 0.000

No. 23
HgRh2Au (PBE, relaxed); formation energy from the elements = 0.25 eV per atom; Fermi-level density of states = 5.4 states/eV/f.u.; DFT total energy = -17.29 eV for the cell shown
1.0
3.283 0.000 0.000
0.000 3.283 0.000
0.000 0.000 6.261
Hg Rh Au
1 2 1
Direct
0.000 0.000 0.000
0.500 0.500 0.260
0.500 0.500 0.740
0.000 0.000 0.500

No. 24
HgRhAu2 (PBE, relaxed); formation energy from the elements = 0.13 eV per atom; Fermi-level density of states = 2.8 states/eV/f.u.; DFT total energy = -13.70 eV for the cell shown
1.0
3.039 0.000 0.000
0.000 3.852 0.000
-0.050 0.000 6.078
Hg Rh Au
1 1 2
Direct
0.000 0.000 0.000
0.499 0.500 0.762
0.499 0.500 0.272
0.998 0.000 0.521

No. 25
HgRhAu2 (PBE, relaxed); formation energy from the elements = 0.15 eV per atom; Fermi-level density of states = 3.4 states/eV/f.u.; DFT total energy = -13.61 eV for the cell shown
1.0
-1.524 2.390 4.929
1.524 -2.390 4.929
1.524 2.390 -4.929
Hg Rh Au
1 1 2
Direct
0.000 0.000 0.000
0.500 0.500 0.000
0.260 0.760 0.500
0.740 0.240 0.500

No. 26
HgRh2Au (PBE, relaxed); formation energy from the elements = 0.23 eV per atom; Fermi-level density of states = 6.1 states/eV/f.u.; DFT total energy = -17.36 eV for the cell shown
1.0
-1.452 2.406 4.860
1.452 -2.406 4.860
1.452 2.406 -4.860
Hg Rh Au
1 2 1
Direct
0.000 0.000 0.000
0.521 0.521 0.000
0.744 0.244 0.500
0.268 0.768 0.500

No. 27
HgRh2Au (PBE, relaxed); formation energy from the elements = 0.20 eV per atom; Fermi-level density of states = 3.9 states/eV/f.u.; DFT total energy = -17.46 eV for the cell shown
1.0
-2.034 2.034 4.045
2.034 -2.034 4.045
2.034 2.034 -4.045
Hg Rh Au
1 2 1
Direct
0.000 0.000 0.000
0.250 0.750 0.500
0.500 0.500 0.000
0.750 0.250 0.500

No. 28
HgRhAu2 (PBE, relaxed); formation energy from the elements = 0.11 eV per atom; Fermi-level density of states = 2.6 states/eV/f.u.; DFT total energy = -13.75 eV for the cell shown
1.0
-2.151 2.151 3.838
2.151 -2.151 3.838
2.151 2.151 -3.838
Hg Rh Au
1 1 2
Direct
0.000 0.000 0.000
0.250 0.750 0.500
0.500 0.500 0.000
0.750 0.250 0.500

No. 29
HgRhAu2 (PBE, relaxed); formation energy from the elements = 0.09 eV per atom; Fermi-level density of states = 2.6 states/eV/f.u.; DFT total energy = -13.84 eV for the cell shown
1.0
4.053 0.000 0.000
0.000 4.053 0.000
0.000 0.000 4.322
Hg Rh Au
1 1 2
Direct
0.000 0.000 0.000
0.500 0.500 0.000
0.000 0.500 0.500
0.500 0.000 0.500

No. 30
HgRh2Au (PBE, relaxed); formation energy from the elements = 0.30 eV per atom; Fermi-level density of states = 5.2 states/eV/f.u.; DFT total energy = -17.10 eV for the cell shown
1.0
0.000 3.239 3.239
3.239 0.000 3.239
3.239 3.239 0.000
Hg Rh Au
1 2 1
Direct
0.000 0.000 0.000
0.250 0.250 0.250
0.500 0.500 0.500
0.750 0.750 0.750